(1)
Entry from the Alexandria database: a relaxed structure of CoTeIr2 (PBE).

offset from the most stable computed form	0.37	eV/f.u.
VASP energy	-26.2	eV per cell
space-group type	I-4m2
total magnetic moment	0.553	μB/atom

abc: 4.7769 4.7769 4.7769
angles: 130.20 130.20 73.09
Fractional positions:
Co1 0.7500 0.2500 0.5000
Ir1 0.0000 0.0000 0.0000
Ir2 0.2500 0.7500 0.5000
Te1 0.5000 0.5000 0.0000

---

(2)
Entry from the Alexandria database: a relaxed structure of Co2TeIr (PBE).

VASP energy	-24.5	eV per cell
space-group type	C2/m
total magnetic moment	0.761	μB/atom

abc: 4.5411 4.5411 4.8233
angles: 77.73 77.73 38.52
Fractional positions:
Co1 0.0032 0.0032 0.9635
Co2 0.4968 0.4968 0.5365
Ir1 0.7500 0.7500 0.7500
Te1 0.2500 0.2500 0.2500

---

(3)
Entry from the Alexandria database: a relaxed structure of CoTeIr2 (PBE).

offset from the most stable computed form	0.79	eV/f.u.
VASP energy	-25.8	eV per cell
space-group type	Imm2
total magnetic moment	0.492	μB/atom

abc: 5.3293 5.3293 5.3293
angles: 147.13 129.45 61.62
Fractional positions:
Co1 0.7396 0.2396 0.5000
Ir1 0.9852 0.9852 0.0000
Ir2 0.2667 0.7667 0.5000
Te1 0.5085 0.5085 0.0000

---

(4)
Entry from the Alexandria database: a relaxed structure of CoTeIr2 (PBE).

offset from the most stable computed form	1.56	eV/f.u.
VASP energy	-50.0	eV per cell
space-group type	I-42d
total magnetic moment	0.205	μB/atom

abc: 5.0128 5.0128 7.5025
angles: 70.48 70.48 90.00
Fractional positions:
Co1 0.5000 0.5000 0.0000
Co2 0.2500 0.7500 0.5000
Ir1 0.5634 0.1250 0.2500
Ir2 0.1866 0.6250 0.2500
Ir3 0.3750 0.4366 0.7500
Ir4 0.8750 0.8134 0.7500
Te1 0.0000 0.0000 0.0000
Te2 0.7500 0.2500 0.5000

---

(5)
Entry from the Alexandria database: a relaxed structure of CoTeIr2 (PBE).

offset from the most stable computed form	0.56	eV/f.u.
VASP energy	-26.0	eV per cell
space-group type	P4mm
total magnetic moment	0.405	μB/atom

abc: 2.9243 2.9243 7.4364
angles: 90.00 90.00 90.00
Fractional positions:
Co1 0.5000 0.5000 0.7739
Ir1 0.0000 0.0000 0.9859
Ir2 0.5000 0.5000 0.2294
Te1 0.0000 0.0000 0.5108

---

(6)
Entry from the Alexandria database: a relaxed structure of Co2TeIr (PBE).

VASP energy	-47.0	eV per cell
space-group type	I-42d
total magnetic moment	0.000	μB/atom

abc: 5.1758 5.1758 7.0112
angles: 68.34 68.34 90.00
Fractional positions:
Co1 0.6583 0.1250 0.2500
Co2 0.0917 0.6250 0.2500
Co3 0.3750 0.3417 0.7500
Co4 0.8750 0.9083 0.7500
Ir1 0.0000 0.0000 0.0000
Ir2 0.7500 0.2500 0.5000
Te1 0.5000 0.5000 0.0000
Te2 0.2500 0.7500 0.5000